First-principles (PBE-GGA) data for a geometry-optimized Ho3ScRu3 structure, as listed in the Alexandria database.

```
Ho3ScRu3
1.0
-6.599 -0.421 1.052
-1.146 -2.431 -6.132
0.772 -6.162 2.310
Ho Ru Sc
6 6 2
direct
0.246 0.246 0.501
0.734 0.266 0.000
0.266 0.734 0.000
0.754 0.754 0.499
0.248 0.752 0.500
0.752 0.248 0.500
0.500 0.000 0.243
0.000 0.500 0.243
0.500 0.000 0.757
0.000 0.000 0.755
0.000 0.000 0.245
0.000 0.500 0.757
0.776 0.776 0.999
0.224 0.224 0.001
```

Properties
Energy of formation from the pure elements: -269 kJ/mol of formula units
E: -101.4 eV for the cell shown
Volume: 21.19 Å³/atom
Space group: C2/m, No. 12
Energy above the lowest structure with this stoichiometry: 8 meV/atom
Fermi-level density of states: 8.25 states/eV/cell

=====

First-principles (PBE-GGA) data for a geometry-optimized K8Rb4Ag structure, as listed in the Alexandria database.

```
K8Rb4Ag
1.0
-0.558 -6.655 1.353
5.201 0.455 4.383
-13.061 4.158 15.067
K Rb Ag
8 4 1
direct
0.000 0.500 0.915
0.000 0.000 0.428
0.500 0.000 0.251
0.000 0.500 0.251
0.000 0.000 0.754
0.500 0.000 0.593
0.500 0.500 0.088
0.500 0.500 0.754
0.000 0.000 0.086
0.500 0.500 0.413
0.000 0.500 0.592
0.500 0.000 0.916
0.000 0.000 0.263
```

Properties
Energy of formation from the pure elements: 25 kJ/mol of formula units
E: -15.2 eV for the cell shown
Volume: 72.79 Å³/atom
Space group: Pmm2, No. 25
Fermi-level density of states: 10.06 states/eV/cell

=====

First-principles (PBE-GGA) data for a geometry-optimized TiIn2Cl5 structure, as listed in the Alexandria database.

```
TiIn2Cl5
1.0
-4.459 1.254 5.773
0.579 -7.103 1.992
6.030 4.075 -0.974
Cl In Ti
5 2 1
direct
0.760 0.760 0.520
0.817 0.817 0.076
0.260 0.817 0.076
0.260 0.260 0.077
0.817 0.260 0.077
0.193 0.693 0.387
0.693 0.193 0.387
0.977 0.977 0.954
```

Properties
E: -32.0 eV for the cell shown
ΔE_f (raw): -27.180 kcal/mol of atoms
Volume: 35.25 Å³/atom
Space group: I4mm, No. 107
Fermi-level density of states: 1.32 states/eV/cell

=====

First-principles (PBE-GGA) data for a geometry-optimized Tl6HgAu2O structure, as listed in the Alexandria database.

```
Tl6HgAu2O
1.0
6.590 0.000 -0.744
0.000 7.801 0.000
-0.987 0.000 11.116
Tl Au O Hg
12 4 2 2
direct
0.332 0.640 0.099
0.365 0.699 0.428
0.635 0.301 0.572
0.168 0.140 0.401
0.852 0.525 0.201
0.865 0.801 0.928
0.668 0.360 0.901
0.352 0.975 0.701
0.648 0.025 0.299
0.148 0.475 0.799
0.135 0.199 0.072
0.832 0.860 0.599
0.539 0.629 0.710
0.039 0.871 0.210
0.961 0.129 0.790
0.461 0.371 0.290
0.500 0.000 0.500
0.000 0.500 0.000
0.000 0.500 0.500
0.500 0.000 0.000
```

Properties
E: -54.5 eV for the cell shown
ΔE_f (raw): -2.878 kcal/mol of atoms
Volume: 28.29 Å³/atom
Space group: P2_1/c, No. 14
Fermi-level density of states: 6.80 states/eV/cell